[1]
Sr2CuB2Rh5: optimized geometry, PBE-GGA.

a b c (Å): 10.0141 10.0141 3.0310
angles (deg): 90.00 90.00 90.00
Fractional positions:
Sr (0.1785, 0.3215, 0.0000)
Sr (0.3215, 0.8215, 0.0000)
Sr (0.6785, 0.1785, 0.0000)
Sr (0.8215, 0.6785, 0.0000)
Cu (0.0000, 0.0000, 0.0000)
Cu (0.5000, 0.5000, 0.0000)
B (0.1224, 0.6224, 0.0000)
B (0.3776, 0.1224, 0.0000)
B (0.6224, 0.8776, 0.0000)
B (0.8776, 0.3776, 0.0000)
Rh (0.0000, 0.5000, 0.5000)
Rh (0.0682, 0.7730, 0.5000)
Rh (0.2270, 0.0682, 0.5000)
Rh (0.2730, 0.5682, 0.5000)
Rh (0.4318, 0.2730, 0.5000)
Rh (0.5000, 0.0000, 0.5000)
Rh (0.5682, 0.7270, 0.5000)
Rh (0.7270, 0.4318, 0.5000)
Rh (0.7730, 0.9318, 0.5000)
Rh (0.9318, 0.2270, 0.5000)

Calculated values
As for the total energy: -6.0102 eV/atom. The formation energy comes out at -0.25 eV per atom.


[2]
SrCuBRh2: optimized geometry, PBE-GGA.

a b c (Å): 4.2887 4.2887 4.2136
angles (deg): 90.00 90.00 90.00
Fractional positions:
Sr (0.0000, 0.0000, 0.0000)
Cu (0.5000, 0.5000, 0.0000)
B (0.5000, 0.5000, 0.5000)
Rh (0.0000, 0.5000, 0.5000)
Rh (0.5000, 0.0000, 0.5000)

Calculated values
As for the total energy: -5.6787 eV/atom. The formation energy comes out at -0.25 eV per atom.


[3]
SrCu2BRh2: optimized geometry, PBE-GGA.

a b c (Å): 4.1731 4.1731 5.6480
angles (deg): 90.00 90.00 90.00
Fractional positions:
Sr (0.0000, 0.0000, 0.0000)
Cu (0.5000, 0.5000, 0.2258)
Cu (0.5000, 0.5000, 0.7742)
B (0.0000, 0.0000, 0.5000)
Rh (0.0000, 0.5000, 0.5000)
Rh (0.5000, 0.0000, 0.5000)

Calculated values
As for the total energy: -5.4190 eV/atom. The formation energy comes out at -0.21 eV per atom.


[4]
Ta2CuBRh: optimized geometry, PBE-GGA.

a b c (Å): 4.7189 4.7189 4.5349
angles (deg): 90.00 90.00 90.00
Fractional positions:
Ta (0.0000, 0.5000, 0.0000)
Ta (0.5000, 0.0000, 0.0000)
Cu (0.0000, 0.0000, 0.5000)
B (0.5000, 0.5000, 0.5000)
Rh (0.0000, 0.0000, 0.0000)

Calculated values
As for the total energy: -6.5486 eV/atom. The formation energy comes out at 1.82 eV per atom.